[1]
PBE CeNdCI, optimized geometry; DOS at the Fermi energy = 1.204 states/eV per atom; SG = No. 160; formation energy from raw total energies = -661 meV/atom
1.0
-0.086 0.681 3.783
-0.603 -3.557 -1.326
7.879 -0.721 -1.644
C Ce Nd I
1 1 1 1
direct
0.311 0.554 0.880
0.082 0.939 0.036
0.517 0.157 0.689
0.967 0.382 0.364

=====

[2]
PBE Ac8Nd2Sm3, optimized geometry; DOS at the Fermi energy = 1.752 states/eV per atom; energy relative to the elements = 177 meV per atom; SG = No. 12
1.0
6.451 0.757 0.419
-0.882 10.950 -6.209
2.321 -2.008 8.952
Ac Nd Sm
8 2 3
direct
0.796 0.432 0.865
0.913 0.143 0.287
0.204 0.568 0.135
0.654 0.080 0.679
0.346 0.920 0.321
0.087 0.857 0.713
0.346 0.401 0.321
0.654 0.599 0.679
0.642 0.700 0.400
0.358 0.300 0.600
0.000 0.257 0.000
0.000 0.743 0.000
0.500 0.000 0.000